No. 1
First-principles (PBE) data for crystalline Sm4GeSbSe2 at its relaxed geometry, as listed in Alexandria.

Calculated values
Total moment, Bohr magnetons per cell: 0.00
Mass density, g/cm³: 7.1
Final energy, eV/atom: -5.79

Cell: 7.3881 4.2855 7.4528 Å, 90.00 109.47 90.00°
With the nearest neighbours (Å) after each atom.
Fractional positions:
Sm 0.2439 0.0000 0.2381  2 Ge 2.98, 3 Se 2.99-3.09, 1 Sb 3.07
Sm 0.2502 0.5000 0.7617  1 Ge 2.96, 3 Se 2.99-3.10, 2 Sb 3.07
Sm 0.7498 0.5000 0.2383  1 Ge 2.96, 3 Se 2.99-3.10, 2 Sb 3.07
Sm 0.7561 0.0000 0.7619  2 Ge 2.98, 3 Se 2.99-3.09, 1 Sb 3.07
Ge 0.0000 0.5000 0.0000  6 Sm 2.96-2.98
Sb 0.0000 0.0000 0.5000  6 Sm 3.07
Se 0.5000 0.0000 0.0000  6 Sm 2.99
Se 0.5000 0.5000 0.5000  6 Sm 3.09-3.10

***

No. 2
First-principles (PBE) data for crystalline Zn2Mo4I at its relaxed geometry, as listed in Alexandria.

Calculated values
Total moment, Bohr magnetons per cell: 4.79
Mass density, g/cm³: 6.8
Final energy, eV/atom: -4.90

Cell: 7.3451 7.3451 7.3451 Å, 140.92 140.92 56.45°
With the nearest neighbours (Å) after each atom.
Fractional positions:
Zn 0.1021 0.1021 0.0000  5 Mo 2.58-2.79, 1 Zn 2.64
Zn 0.8979 0.8979 0.0000  5 Mo 2.58-2.79, 1 Zn 2.64
Mo 0.0000 0.5000 0.5000  2 I 2.46
Mo 0.3014 0.3014 0.0000  1 I 2.57, 1 Zn 2.58
Mo 0.5000 0.0000 0.5000  2 I 2.46
Mo 0.6986 0.6986 0.0000  1 I 2.57, 1 Zn 2.58
I 0.5000 0.5000 0.0000  6 Mo 2.46-2.57

***

No. 3
First-principles (PBE) data for crystalline Cd2OsSe at its relaxed geometry, as listed in Alexandria.

Calculated values
Total moment, Bohr magnetons per cell: 0.00
Mass density, g/cm³: 10.0
Final energy, eV/atom: -3.92

Cell: 3.0354 3.0354 8.9392 Å, 90.00 90.00 90.00°
With the nearest neighbours (Å) after each atom.
Fractional positions:
Cd 0.0000 0.0000 0.0000  8 Cd 3.04-3.24
Cd 0.5000 0.5000 0.2709  4 Os 3.01, 8 Cd 3.04-3.24
Os 0.0000 0.0000 0.5073  4 Se 2.52
Se 0.5000 0.5000 0.6551  4 Os 2.52

***

No. 4
First-principles (PBE) data for crystalline Mg2SiP at its relaxed geometry, as listed in Alexandria.

Calculated values
Total moment, Bohr magnetons per cell: 0.00
Polymorph energy (0 for the lowest one), meV per atom: 86
Mass density, g/cm³: 2.2
Final energy, eV/atom: -3.46

Cell: 6.5605 6.5605 6.5605 Å, 34.50 34.50 34.50°
With the nearest neighbours (Å) after each atom.
Fractional positions:
Mg 0.2348 0.2348 0.2348  3 P 2.58
Mg 0.7652 0.7652 0.7652  3 P 2.58
Si 0.0000 0.0000 0.0000  6 Mg 2.89
P 0.5000 0.5000 0.5000  6 Mg 2.58

***

No. 5
First-principles (PBE) data for crystalline KMgS3 at its relaxed geometry, as listed in Alexandria.

Calculated values
Total moment, Bohr magnetons per cell: 3.00
Polymorph energy (0 for the lowest one), meV per atom: 1232
Mass density, g/cm³: 1.7
Final energy, eV/atom: -2.16

Cell: 5.4115 5.4115 5.4115 Å, 90.00 90.00 90.00°
With the nearest neighbours (Å) after each atom.
Fractional positions:
K 0.0000 0.0000 0.0000  6 S 2.71
Mg 0.5000 0.5000 0.5000  12 S 3.83
S 0.0000 0.0000 0.5000  2 K 2.71
S 0.0000 0.5000 0.0000  2 K 2.71
S 0.5000 0.0000 0.0000  2 K 2.71

***

No. 6
First-principles (PBE) data for crystalline Cr2TcNi at its relaxed geometry, as listed in Alexandria.

Calculated values
Total moment, Bohr magnetons per cell: 0.00
ΔH_f (0 K), kcal/mol of atoms: 2.92
Mass density, g/cm³: 8.8
Final energy, eV/atom: -8.72

Cell: 2.4744 4.1262 4.8931 Å, 90.00 99.49 90.00°
With the nearest neighbours (Å) after each atom.
Fractional positions:
Cr 0.2026 0.0000 0.2351  3 Cr 2.35-2.47, 2 Ni 2.53, 2 Tc 2.53
Cr 0.7974 0.0000 0.7649  3 Cr 2.35-2.47, 2 Ni 2.53, 2 Tc 2.53
Tc 0.0000 0.5000 0.5000  2 Tc 2.47, 4 Cr 2.53, 2 Ni 2.55
Ni 0.5000 0.5000 0.0000  2 Ni 2.47, 4 Cr 2.53, 2 Tc 2.55

***

No. 7
First-principles (PBE) data for crystalline LiPtCl2 at its relaxed geometry, as listed in Alexandria.

Calculated values
Total moment, Bohr magnetons per cell: 0.00
Polymorph energy (0 for the lowest one), meV per atom: 173
Mass density, g/cm³: 4.9
Final energy, eV/atom: -3.46

Cell: 3.4473 3.4800 7.7368 Å, 90.00 90.00 90.00°
With the nearest neighbours (Å) after each atom.
Fractional positions:
Li 0.0000 0.0000 0.0000  4 Cl 2.45
Pt 0.5000 0.0000 0.5000  4 Cl 2.45
Cl 0.0000 0.5000 0.5000  4 Pt 2.45
Cl 0.5000 0.5000 0.0000  4 Li 2.45

***

No. 8
First-principles (PBE) data for crystalline Cs2SmNpS4 at its relaxed geometry, as listed in Alexandria.

Calculated values
Total moment, Bohr magnetons per cell: 4.00
Mass density, g/cm³: 5.3
Final energy, eV/atom: -6.06

Cell: 7.2489 4.1794 8.4245 Å, 90.00 106.70 90.00°
With the nearest neighbours (Å) after each atom.
Fractional positions:
Cs 0.0000 0.0000 0.0000  6 S 3.52-3.54
Cs 0.5000 0.5000 0.0000  6 S 3.50-3.51
Sm 0.0000 0.5000 0.5000  6 S 2.84-2.85
Np 0.5000 0.0000 0.5000  6 S 2.81-2.83
S 0.2299 0.0000 0.6845  1 Np 2.83, 2 Sm 2.84
S 0.2767 0.5000 0.3191  2 Np 2.81, 1 Sm 2.85
S 0.7233 0.5000 0.6809  2 Np 2.81, 1 Sm 2.85
S 0.7701 0.0000 0.3155  1 Np 2.83, 2 Sm 2.84

***

No. 9
First-principles (PBE) data for crystalline La2PrSb3Rh4 at its relaxed geometry, as listed in Alexandria.

Calculated values
Total moment, Bohr magnetons per cell: 0.01
Mass density, g/cm³: 8.6
Final energy, eV/atom: -6.50

Cell: 4.5042 4.5042 11.4269 Å, 90.00 90.00 90.00°
With the nearest neighbours (Å) after each atom.
Fractional positions:
La 0.0000 0.5000 0.2241  4 Sb 3.38, 8 Rh 3.41-3.50
La 0.5000 0.0000 0.7759  4 Sb 3.38, 8 Rh 3.41-3.50
Pr 0.0000 0.0000 0.5000  4 Rh 2.83
Sb 0.0000 0.5000 0.8746  5 Rh 2.57-2.67
Sb 0.5000 0.0000 0.1254  5 Rh 2.57-2.67
Sb 0.5000 0.5000 0.5000  4 Rh 2.83
Rh 0.0000 0.0000 0.0000  4 Sb 2.67
Rh 0.0000 0.5000 0.6495  3 Sb 2.57-2.83, 2 Pr 2.83
Rh 0.5000 0.0000 0.3505  3 Sb 2.57-2.83, 2 Pr 2.83
Rh 0.5000 0.5000 0.0000  4 Sb 2.67

***

The highest final energy belongs to which entry?
KMgS3

***

Number 8 is which compound?
Cs2SmNpS4

***

Which of these has the lowest mass density?
KMgS3